Record 1
Compound: AlVInF6
Source: the Alexandria database
Functional: PBE+U
Structure: optimized geometry

Computed properties:
**E_tot**: -5.63 eV/atom
**Fermi-level density of states**: 0.000 states/eV per cell
**SG**: P1, No. 1

Structure (POSCAR):
```
AlVInF6
1.0
5.3653 0.0000 0.0000
-2.6700 4.6597 0.0000
-0.0245 -0.0199 5.9237
Al V In F
1 1 1 6
Direct
0.0000 0.0000 0.0000
0.6663 0.3344 0.0000
0.3331 0.6675 0.5000
0.2916 0.2711 0.8246
0.2950 0.0216 0.1748
0.7256 0.0203 0.8254
0.7295 0.7082 0.1755
0.9779 0.7060 0.8248
0.9802 0.2736 0.1747
```

***

Record 2
Compound: AlIn2WF
Source: the Alexandria database
Functional: PBE+U
Structure: optimized geometry

Computed properties:
**E_tot**: -3.55 eV/atom
**Fermi-level density of states**: 2.477 states/eV per cell
**SG**: P4/mmm, No. 123

Structure (POSCAR):
```
AlIn2WF
1.0
5.0708 0.0000 0.0000
0.0000 5.0708 0.0000
0.0000 0.0000 3.9920
Al In W F
1 2 1 1
Direct
0.0000 0.0000 0.0000
0.0000 0.5000 0.5000
0.5000 0.0000 0.5000
0.5000 0.5000 0.0000
0.0000 0.0000 0.5000
```

***

no.,M_tot (μB per atom)
1,0.333
2,0.661